Material: K2NaI
Method: DFT, PBE
State: optimized geometry

Cell lengths 9.138, 9.138, 9.138 Å; angles 90.00, 90.00, 90.00 degrees
Space group Fm-3m (No. 225)
One atom of each set of equivalent atoms:
K 0.250 0.250 0.250 (multiplicity 8)
Na 0.000 0.000 0.000 (multiplicity 4)
I 0.000 0.000 0.500 (multiplicity 4)

For the energy, the calculation gives -28.8 eV for the cell shown. Its density of states at the Fermi level is 0.02 states/eV/cell. As for the uncorrected formation energy: -2.15 eV per formula unit. The value obtained for the density is 1.99 g/cm³.

---

Material: YHoAu
Method: DFT, PBE
State: optimized geometry

Cell lengths 3.842, 12.354, 6.927 Å; angles 90.00, 90.00, 90.00 degrees
Space group Cmcm (No. 63)
One atom of each set of equivalent atoms:
Y 0.000 0.207 0.250 (multiplicity 4)
Ho 0.000 0.500 0.000 (multiplicity 4)
Au 0.000 0.114 0.750 (multiplicity 4)

For the energy, the calculation gives -64.0 eV for the cell shown. The formation energy comes out at -0.563 eV/atom. Its density of states at the Fermi level is 19.25 states/eV/cell. The value obtained for the density is 9.11 g/cm³.

---

Material: NaCuSnRu2
Method: DFT, PBE
State: optimized geometry

Cell lengths 4.942, 4.942, 4.784 Å; angles 90.00, 90.00, 90.00 degrees
Space group P4/mmm (No. 123)
One atom of each set of equivalent atoms:
Na 0.000 0.000 0.000 (multiplicity 1)
Cu 0.500 0.500 0.000 (multiplicity 1)
Sn 0.500 0.500 0.500 (multiplicity 1)
Ru 0.000 0.500 0.500 (multiplicity 2)

For the energy, the calculation gives -21.6 eV for the cell shown. The formation energy comes out at 1.265 eV/atom. Its density of states at the Fermi level is 6.93 states/eV/cell. The value obtained for the density is 5.79 g/cm³.